# ZrSi3I | the Alexandria database | PBE | relaxed
data_ZrSi3I
_chemical_formula_sum 'Zr1 Si3 I1'
_cell_length_a 5.0776
_cell_length_b 5.0776
_cell_length_c 5.0776
_cell_angle_alpha 90.00
_cell_angle_beta 90.00
_cell_angle_gamma 90.00
_space_group_name_H-M_alt 'P m -3 m'
_space_group_IT_number 221
_space_group_name_Hall '-P 4 2 3'
loop_
_atom_site_label
_atom_site_fract_x
_atom_site_fract_y
_atom_site_fract_z
Zr1 0.0000 0.0000 0.0000
Si1 0.0000 0.5000 0.5000
I1 0.5000 0.5000 0.5000
# Formation energy without anion corrections in eV/f.u.: 7.952
# Density of states at the Fermi level in states/eV per cell: 4.63
# Distance to the lowest polymorph of the same formula in kcal/mol of atoms: 16.91
# M_tot in μB per formula unit: 0.00


# ZrSi3I | the Alexandria database | PBE | relaxed
data_ZrSi3I
_chemical_formula_sum 'Zr1 Si3 I1'
_cell_length_a 5.2460
_cell_length_b 5.2460
_cell_length_c 5.2460
_cell_angle_alpha 90.00
_cell_angle_beta 90.00
_cell_angle_gamma 90.00
_space_group_name_H-M_alt 'P m -3 m'
_space_group_IT_number 221
_space_group_name_Hall '-P 4 2 3'
loop_
_atom_site_label
_atom_site_fract_x
_atom_site_fract_y
_atom_site_fract_z
Zr1 0.0000 0.0000 0.0000
Si1 0.0000 0.0000 0.5000
I1 0.5000 0.5000 0.5000
# Formation energy without anion corrections in eV/f.u.: 4.286
# Density of states at the Fermi level in states/eV per cell: 8.75
# Distance to the lowest polymorph of the same formula in kcal/mol of atoms: 0.00
# M_tot in μB per formula unit: 0.00


# Sm4I | the Alexandria database | PBE | relaxed
data_Sm4I
_chemical_formula_sum 'Sm4 I1'
_cell_length_a 5.7913
_cell_length_b 5.7913
_cell_length_c 5.7913
_cell_angle_alpha 90.00
_cell_angle_beta 90.00
_cell_angle_gamma 90.00
_space_group_name_H-M_alt 'P m -3 m'
_space_group_IT_number 221
_space_group_name_Hall '-P 4 2 3'
loop_
_atom_site_label
_atom_site_fract_x
_atom_site_fract_y
_atom_site_fract_z
Sm1 0.0000 0.0000 0.0000
Sm2 0.0000 0.5000 0.5000
I1 0.5000 0.5000 0.5000
# Formation energy without anion corrections in eV/f.u.: 0.387
# Density of states at the Fermi level in states/eV per cell: 6.11
# M_tot in μB per formula unit: 0.00


# Sm3I | the Alexandria database | PBE | relaxed
data_Sm3I
_chemical_formula_sum 'Sm6 I2'
_cell_length_a 4.8564
_cell_length_b 4.8564
_cell_length_c 10.7793
_cell_angle_alpha 90.00
_cell_angle_beta 90.00
_cell_angle_gamma 90.00
_space_group_name_H-M_alt 'I 4/m m m'
_space_group_IT_number 139
_space_group_name_Hall '-I 4 2'
loop_
_atom_site_label
_atom_site_fract_x
_atom_site_fract_y
_atom_site_fract_z
Sm1 0.0000 0.0000 0.0000
Sm2 0.0000 0.5000 0.2500
I1 0.0000 0.0000 0.5000
# Formation energy without anion corrections in eV/f.u.: -0.348
# Density of states at the Fermi level in states/eV per cell: 12.37
# Distance to the lowest polymorph of the same formula in kcal/mol of atoms: 3.08
# M_tot in μB per formula unit: 0.00


# SmI3 | the Alexandria database | PBE | relaxed
data_SmI3
_chemical_formula_sum 'Sm2 I6'
_cell_length_a 4.0756
_cell_length_b 12.7731
_cell_length_c 7.9135
_cell_angle_alpha 90.00
_cell_angle_beta 90.00
_cell_angle_gamma 90.00
_space_group_name_H-M_alt 'I m m 2'
_space_group_IT_number 44
_space_group_name_Hall 'I 2 -2'
loop_
_atom_site_label
_atom_site_fract_x
_atom_site_fract_y
_atom_site_fract_z
Sm1 0.0000 0.0000 0.0000
I1 0.0000 0.3404 0.6489
I2 0.0000 0.5000 0.2027
# Formation energy without anion corrections in eV/f.u.: -5.517
# Density of states at the Fermi level in states/eV per cell: 0.00
# M_tot in μB per formula unit: 0.00


# Sm3I | the Alexandria database | PBE | relaxed
data_Sm3I
_chemical_formula_sum 'Sm6 I2'
_cell_length_a 7.0330
_cell_length_b 7.0330
_cell_length_c 5.7475
_cell_angle_alpha 90.00
_cell_angle_beta 90.00
_cell_angle_gamma 120.00
_space_group_name_H-M_alt 'P 63/m m c'
_space_group_IT_number 194
_space_group_name_Hall '-P 6c 2c'
loop_
_atom_site_label
_atom_site_fract_x
_atom_site_fract_y
_atom_site_fract_z
Sm1 0.1658 0.3315 0.2500
I1 0.3333 0.6667 0.7500
# Formation energy without anion corrections in eV/f.u.: -0.337
# Density of states at the Fermi level in states/eV per cell: 8.73
# Distance to the lowest polymorph of the same formula in kcal/mol of atoms: 3.14
# M_tot in μB per formula unit: 0.00


# Sm3I | the Alexandria database | PBE | relaxed
data_Sm3I
_chemical_formula_sum 'Sm3 I1'
_cell_length_a 3.6459
_cell_length_b 3.7319
_cell_length_c 10.2548
_cell_angle_alpha 90.00
_cell_angle_beta 90.00
_cell_angle_gamma 90.00
_space_group_name_H-M_alt 'P m m 2'
_space_group_IT_number 25
_space_group_name_Hall 'P 2 -2'
loop_
_atom_site_label
_atom_site_fract_x
_atom_site_fract_y
_atom_site_fract_z
Sm1 0.0000 0.0000 0.0000
Sm2 0.0000 0.5000 0.2941
Sm3 0.5000 0.5000 0.7601
I1 0.5000 0.0000 0.4884
# Formation energy without anion corrections in eV/f.u.: -0.882
# Density of states at the Fermi level in states/eV per cell: 5.44
# Distance to the lowest polymorph of the same formula in kcal/mol of atoms: 0.00
# M_tot in μB per formula unit: 0.01


# Sm3SnI3 | the Alexandria database | PBE | relaxed
data_Sm3SnI3
_chemical_formula_sum 'Sm18 Sn6 I18'
_cell_length_a 8.6392
_cell_length_b 8.6392
_cell_length_c 24.1578
_cell_angle_alpha 90.00
_cell_angle_beta 90.00
_cell_angle_gamma 120.00
_space_group_name_H-M_alt 'R -3'
_space_group_IT_number 148
_space_group_name_Hall '-R 3'
loop_
_atom_site_label
_atom_site_fract_x
_atom_site_fract_y
_atom_site_fract_z
Sm1 0.0054 0.5932 0.4270
Sn1 0.0000 0.0000 0.1653
I1 0.0158 0.7512 0.6173
# Formation energy without anion corrections in eV/f.u.: -6.119
# Density of states at the Fermi level in states/eV per cell: 34.26
# M_tot in μB per formula unit: 0.00


# Sm4Sn2I3 | the Alexandria database | PBE | relaxed
data_Sm4Sn2I3
_chemical_formula_sum 'Sm8 Sn4 I6'
_cell_length_a 7.7765
_cell_length_b 4.4902
_cell_length_c 18.8130
_cell_angle_alpha 90.00
_cell_angle_beta 90.05
_cell_angle_gamma 90.00
_space_group_name_H-M_alt 'C 1 2/m 1'
_space_group_IT_number 12
_space_group_name_Hall '-C 2y'
loop_
_atom_site_label
_atom_site_fract_x
_atom_site_fract_y
_atom_site_fract_z
Sm1 0.9995 0.0000 0.2078
Sm2 0.1665 0.5000 0.3868
Sn1 0.1670 0.5000 0.6997
I1 0.0000 0.0000 0.5000
I2 0.1660 0.5000 0.1047
# Formation energy without anion corrections in eV/f.u.: -9.033
# Density of states at the Fermi level in states/eV per cell: 5.83
# M_tot in μB per formula unit: 0.00


# Sm6SnI8 | the Alexandria database | PBE | relaxed
data_Sm6SnI8
_chemical_formula_sum 'Sm18 Sn3 I24'
_cell_length_a 7.6657
_cell_length_b 7.6657
_cell_length_c 34.9064
_cell_angle_alpha 90.00
_cell_angle_beta 90.00
_cell_angle_gamma 120.00
_space_group_name_H-M_alt 'R -3'
_space_group_IT_number 148
_space_group_name_Hall '-R 3'
loop_
_atom_site_label
_atom_site_fract_x
_atom_site_fract_y
_atom_site_fract_z
Sm1 0.0000 0.3145 0.0503
Sn1 0.0000 0.0000 0.0000
I1 0.0000 0.0000 0.3333
I2 0.0000 0.3387 0.8938
# Formation energy without anion corrections in eV/f.u.: -16.341
# Density of states at the Fermi level in states/eV per cell: 24.26
# M_tot in μB per formula unit: 0.00


# SmSn2I8 | the Alexandria database | PBE | relaxed
data_SmSn2I8
_chemical_formula_sum 'Sm2 Sn4 I16'
_cell_length_a 13.6863
_cell_length_b 11.7445
_cell_length_c 8.0720
_cell_angle_alpha 90.00
_cell_angle_beta 105.55
_cell_angle_gamma 90.00
_space_group_name_H-M_alt 'C 1 2/m 1'
_space_group_IT_number 12
_space_group_name_Hall '-C 2y'
loop_
_atom_site_label
_atom_site_fract_x
_atom_site_fract_y
_atom_site_fract_z
Sm1 0.0000 0.0000 0.0000
Sn1 0.1805 0.0000 0.6362
I1 0.0771 0.1841 0.7899
I2 0.1185 0.5000 0.1588
I3 0.2121 0.0000 0.2651
# Formation energy without anion corrections in eV/f.u.: -7.701
# Density of states at the Fermi level in states/eV per cell: 10.96
# M_tot in μB per formula unit: 0.00


# Sm3SnI | the Alexandria database | PBE | relaxed
data_Sm3SnI
_chemical_formula_sum 'Sm12 Sn4 I4'
_cell_length_a 9.1972
_cell_length_b 6.3997
_cell_length_c 10.9702
_cell_angle_alpha 90.00
_cell_angle_beta 107.01
_cell_angle_gamma 90.00
_space_group_name_H-M_alt 'P 1 21/c 1'
_space_group_IT_number 14
_space_group_name_Hall '-P 2ybc'
loop_
_atom_site_label
_atom_site_fract_x
_atom_site_fract_y
_atom_site_fract_z
Sm1 0.0353 0.1002 0.2866
Sm2 0.1816 0.6400 0.5309
Sm3 0.4277 0.2154 0.8673
Sn1 0.3462 0.7084 0.8310
I1 0.1793 0.1594 0.5853
# Formation energy without anion corrections in eV/f.u.: -2.746
# Density of states at the Fermi level in states/eV per cell: 19.23
# M_tot in μB per formula unit: 0.00


# Sm2SnI2 | the Alexandria database | PBE | relaxed
data_Sm2SnI2
_chemical_formula_sum 'Sm4 Sn2 I4'
_cell_length_a 4.5576
_cell_length_b 8.6565
_cell_length_c 9.8159
_cell_angle_alpha 86.08
_cell_angle_beta 76.60
_cell_angle_gamma 90.00
_space_group_name_H-M_alt 'P -1'
_space_group_IT_number 2
_space_group_name_Hall '-P 1'
loop_
_atom_site_label
_atom_site_fract_x
_atom_site_fract_y
_atom_site_fract_z
Sm1 0.1325 0.1221 0.2364
Sm2 0.1737 0.6021 0.1537
Sn1 0.3412 0.6412 0.8162
I1 0.0318 0.7929 0.4381
I2 0.3049 0.1280 0.8897
# Formation energy without anion corrections in eV/f.u.: -4.476
# Density of states at the Fermi level in states/eV per cell: 1.35
# M_tot in μB per formula unit: 0.00


# Sm3SnI7 | the Alexandria database | PBE | relaxed
data_Sm3SnI7
_chemical_formula_sum 'Sm3 Sn1 I7'
_cell_length_a 8.9870
_cell_length_b 8.9870
_cell_length_c 7.2160
_cell_angle_alpha 90.00
_cell_angle_beta 90.00
_cell_angle_gamma 120.00
_space_group_name_H-M_alt 'P 3 m 1'
_space_group_IT_number 156
_space_group_name_Hall 'P 3 -2"'
loop_
_atom_site_label
_atom_site_fract_x
_atom_site_fract_y
_atom_site_fract_z
Sm1 0.0064 0.5032 0.0000
Sn1 0.3333 0.6667 0.7377
I1 0.1731 0.3462 0.2537
I2 0.3378 0.1689 0.7649
I3 0.6667 0.3333 0.2552
# Formation energy without anion corrections in eV/f.u.: -11.841
# Density of states at the Fermi level in states/eV per cell: 4.68
# M_tot in μB per formula unit: 2.01


# SmSnI2 | the Alexandria database | PBE | relaxed
data_SmSnI2
_chemical_formula_sum 'Sm3 Sn3 I6'
_cell_length_a 3.9066
_cell_length_b 3.9066
_cell_length_c 32.9783
_cell_angle_alpha 90.00
_cell_angle_beta 90.00
_cell_angle_gamma 120.00
_space_group_name_H-M_alt 'R -3 m'
_space_group_IT_number 166
_space_group_name_Hall '-R 3 2"'
loop_
_atom_site_label
_atom_site_fract_x
_atom_site_fract_y
_atom_site_fract_z
Sm1 0.0000 0.0000 0.0000
Sn1 0.0000 0.0000 0.5000
I1 0.0000 0.0000 0.4002
# Formation energy without anion corrections in eV/f.u.: -2.598
# Density of states at the Fermi level in states/eV per cell: 6.96
# M_tot in μB per formula unit: 0.00


# Sm4SnI5 | the Alexandria database | PBE | relaxed
data_Sm4SnI5
_chemical_formula_sum 'Sm8 Sn2 I10'
_cell_length_a 19.4980
_cell_length_b 4.3694
_cell_length_c 9.1369
_cell_angle_alpha 90.00
_cell_angle_beta 102.03
_cell_angle_gamma 90.00
_space_group_name_H-M_alt 'C 1 2/m 1'
_space_group_IT_number 12
_space_group_name_Hall '-C 2y'
loop_
_atom_site_label
_atom_site_fract_x
_atom_site_fract_y
_atom_site_fract_z
Sm1 0.0010 0.0000 0.2267
Sm2 0.1553 0.5000 0.0735
Sn1 0.0000 0.5000 0.0000
I1 0.0000 0.5000 0.5000
I2 0.1675 0.0000 0.3297
I3 0.1707 0.0000 0.8245
# Formation energy without anion corrections in eV/f.u.: -11.391
# Density of states at the Fermi level in states/eV per cell: 9.62
# M_tot in μB per formula unit: 0.00


# SrSmI2 | the Alexandria database | PBE | relaxed
data_SrSmI2
_chemical_formula_sum 'Sr3 Sm3 I6'
_cell_length_a 4.1117
_cell_length_b 4.1117
_cell_length_c 33.8135
_cell_angle_alpha 90.00
_cell_angle_beta 90.00
_cell_angle_gamma 120.00
_space_group_name_H-M_alt 'R -3 m'
_space_group_IT_number 166
_space_group_name_Hall '-R 3 2"'
loop_
_atom_site_label
_atom_site_fract_x
_atom_site_fract_y
_atom_site_fract_z
Sr1 0.0000 0.0000 0.0000
Sm1 0.0000 0.0000 0.5000
I1 0.0000 0.0000 0.1031
# Formation energy without anion corrections in eV/f.u.: -3.557
# Density of states at the Fermi level in states/eV per cell: 12.63
# M_tot in μB per formula unit: 0.00


# SrSmTlI6 | the Alexandria database | PBE | relaxed
data_SrSmTlI6
_chemical_formula_sum 'Sr2 Sm2 Tl2 I12'
_cell_length_a 8.2501
_cell_length_b 8.2501
_cell_length_c 15.0507
_cell_angle_alpha 90.00
_cell_angle_beta 90.00
_cell_angle_gamma 120.00
_space_group_name_H-M_alt 'P -3 1 c'
_space_group_IT_number 163
_space_group_name_Hall '-P 3 2c'
loop_
_atom_site_label
_atom_site_fract_x
_atom_site_fract_y
_atom_site_fract_z
Sr1 0.3333 0.6667 0.2500
Sm1 0.3333 0.6667 0.7500
Tl1 0.0000 0.0000 0.0000
I1 0.0181 0.3707 0.6297
# Formation energy without anion corrections in eV/f.u.: -12.055
# Density of states at the Fermi level in states/eV per cell: 0.00
# M_tot in μB per formula unit: 0.00


# Sm2TaI | the Alexandria database | PBE | relaxed
data_Sm2TaI
_chemical_formula_sum 'Sm6 Ta3 I3'
_cell_length_a 3.4600
_cell_length_b 3.4600
_cell_length_c 33.0951
_cell_angle_alpha 90.00
_cell_angle_beta 90.00
_cell_angle_gamma 120.00
_space_group_name_H-M_alt 'R -3 m'
_space_group_IT_number 166
_space_group_name_Hall '-R 3 2"'
loop_
_atom_site_label
_atom_site_fract_x
_atom_site_fract_y
_atom_site_fract_z
Sm1 0.0000 0.0000 0.0888
Ta1 0.0000 0.0000 0.0000
I1 0.0000 0.0000 0.5000
# Formation energy without anion corrections in eV/f.u.: 1.826
# Density of states at the Fermi level in states/eV per cell: 16.62
# M_tot in μB per formula unit: 0.02


# TbSmI4 | the Alexandria database | PBE | relaxed
data_TbSmI4
_chemical_formula_sum 'Tb1 Sm1 I4'
_cell_length_a 7.2271
_cell_length_b 4.1663
_cell_length_c 8.4130
_cell_angle_alpha 90.00
_cell_angle_beta 106.27
_cell_angle_gamma 90.00
_space_group_name_H-M_alt 'P 1 2/m 1'
_space_group_IT_number 10
_space_group_name_Hall '-P 2y'
loop_
_atom_site_label
_atom_site_fract_x
_atom_site_fract_y
_atom_site_fract_z
Tb1 0.0000 0.0000 0.0000
Sm1 0.5000 0.5000 0.0000
I1 0.2422 0.5000 0.2449
I2 0.2470 0.0000 0.7515
# Formation energy without anion corrections in eV/f.u.: -7.473
# Density of states at the Fermi level in states/eV per cell: 3.43
# M_tot in μB per formula unit: 0.00